VASP calculation (PBEsol) on a relaxed Sb2PbBr crystal.

## Properties
formation energy from raw total energies: -0.111 eV/atom
M_tot: 0.000 μB per formula unit
DFT total energy: -15.43 eV for the cell shown

abc: 4.157 6.178 4.819
angles: 90.00 95.48 90.00
Fractional coordinates of all 4 atoms:
Sb: 0.225 0.000 0.298
Sb: 0.775 0.000 0.702
Pb: 0.000 0.500 0.500
Br: 0.500 0.500 0.000